Entry 1:
A geometry-optimized ThTe3Pb structure, computed with PBE.

POSCAR file:
```
ThTe3Pb
1.0
-2.6869 2.2350 -3.0933
4.6807 -3.1053 -6.3095
-4.9166 -8.1751 1.8849
Th Te Pb
2 6 2
Cartesian
-1.4459 -5.3688 -6.1443
-1.4770 -3.6766 -1.3735
-3.4619 -7.7577 -6.1192
0.5391 -1.2876 -1.3986
-4.1754 -4.7831 0.1708
1.2526 -4.2622 -7.6887
0.5009 -4.5697 -3.7369
-3.4237 -4.4756 -3.7809
1.2215 -1.7419 -5.8406
-4.1443 -7.3035 -1.6772
```

Its space-group type is No. 12.

=====

Entry 2:
A geometry-optimized SrOsSe2Br structure, computed with PBE.

POSCAR file:
```
SrOsSe2Br
1.0
-0.9591 5.5598 1.7092
-4.3001 0.4888 -4.0029
-3.8318 -1.8567 3.8896
Sr Os Se Br
1 1 2 1
Cartesian
0.0000 0.0000 0.0000
-4.5455 2.0959 0.7980
-2.1501 0.2444 -2.0014
-0.4795 2.7799 0.8546
-1.9159 -0.9284 1.9448
```

The density of states at the Fermi level is 7.8 states/eV per cell. Its space-group type is No. 123.

=====

| no. | electronic total energy (eV/atom) | ΔE to the lowest computed polymorph (meV/atom) | total magnetization (μB/atom) |
| --- | --- | --- | --- |
| 1 | -4.91 | 78 | 0.0000 |
| 2 | -3.23 | 1451 | 1.3967 |